Material: SrTl3Mo
Method: DFT, PBE
State: optimized geometry

Values from the calculation:
- V (Å³/atom) = 31.51
- ρ (g/cm³) = 8.40
- M_tot (μB per formula unit) = 0.426
- SG = Pm-3m
- polymorph energy (0 for the lowest one) (meV per atom) = 0.0

```
SrTl3Mo
1.0
5.401 0.000 0.000
0.000 5.401 0.000
0.000 0.000 5.401
Sr Tl Mo
1 3 1
Cartesian
0.000 0.000 0.000 Sr
0.000 2.701 2.701 Tl
2.701 0.000 2.701 Tl
2.701 2.701 0.000 Tl
2.701 2.701 2.701 Mo
```

=====

Material: NaSrI2F
Method: DFT, PBE
State: optimized geometry

Values from the calculation:
- V (Å³/atom) = 39.16
- ρ (g/cm³) = 3.25
- M_tot (μB per formula unit) = 0.000
- formation energy from raw total energies (eV per atom) = -1.993
- SG = P4/mmm

```
NaSrI2F
1.0
6.520 0.000 0.000
0.000 6.520 0.000
0.000 0.000 4.605
Na Sr I F
1 1 2 1
Cartesian
0.000 0.000 0.000 Na
3.260 3.260 2.303 Sr
0.000 3.260 2.303 I
3.260 0.000 2.303 I
3.260 3.260 0.000 F
```